VASP calculation (GGA-PBE) on a geometry-optimized CdP3H structure.

Output
Theoretical density (g/cm³): 2.690
Offset from the most stable computed form (eV/f.u.): 4.820

Unit cell a=5.0315 b=5.0315 c=5.0315 alpha=90.00 beta=90.00 gamma=90.00
Last column: nearest neighbours and their distance in Å.
Space group Pm-3m (No. 221)
Inequivalent atoms, fractional coordinates:
Cd1 0.0000 0.0000 0.0000 (multiplicity 1)  6 P 2.52
P1 0.0000 0.0000 0.5000 (multiplicity 3)  2 Cd 2.52
H1 0.5000 0.5000 0.5000 (multiplicity 1)  12 P 3.56

VASP calculation (GGA-PBE) on a geometry-optimized Pm6GeS2Cl3 structure.

Output
ΔE_f (raw) (eV/atom): -1.558
Theoretical density (g/cm³): 6.162

Unit cell a=18.1165 b=4.1800 c=8.1992 alpha=90.00 beta=104.94 gamma=90.00
Last column: nearest neighbours and their distance in Å.
Space group C2/m (No. 12)
Inequivalent atoms, fractional coordinates:
Pm1 0.0108 0.0000 0.2417 (multiplicity 4)  1 S 2.77, 2 Ge 2.85, 3 Cl 3.02-3.04
Pm2 0.1629 0.5000 0.1072 (multiplicity 4)  2 S 2.78, 1 Ge 2.85, 3 Cl 3.07-3.10
Pm3 0.1740 0.5000 0.5583 (multiplicity 4)  3 S 2.75-2.77, 1 Cl 3.06
Ge1 0.0000 0.5000 0.0000 (multiplicity 2)  6 Pm 2.85
S1 0.1692 0.0000 0.3338 (multiplicity 4)  6 Pm 2.75-2.78
Cl1 0.0000 0.5000 0.5000 (multiplicity 2)  6 Pm 3.02-3.06
Cl2 0.1623 0.0000 0.8275 (multiplicity 4)  6 Pm 3.04-3.10

VASP calculation (GGA-PBE) on a geometry-optimized Dy4AlRh structure.

Output
Energy of formation from the pure elements (kcal/mol of atoms): -9.77
Theoretical density (g/cm³): 8.156
Offset from the most stable computed form (eV/f.u.): 0.585

Unit cell a=8.8555 b=13.3433 c=5.9943 alpha=90.00 beta=116.28 gamma=90.00
Last column: nearest neighbours and their distance in Å.
Space group C2/c (No. 15)
Inequivalent atoms, fractional coordinates:
Dy1 0.1189 0.1785 0.0807 (multiplicity 8)  2 Rh 2.95-2.98, 2 Al 3.14
Dy2 0.2116 0.4309 0.3216 (multiplicity 8)  2 Rh 2.85-2.92, 2 Al 3.15-3.19
Al1 0.0000 0.3720 0.7500 (multiplicity 4)  8 Dy 3.14-3.19
Rh1 0.0000 0.0005 0.2500 (multiplicity 4)  8 Dy 2.85-2.98, 2 Rh 3.00

VASP calculation (GGA-PBE) on a geometry-optimized Pm3Sm3In2 structure.

Output
Energy of formation from the pure elements (kcal/mol of atoms): -6.28
Theoretical density (g/cm³): 7.647
Offset from the most stable computed form (eV/f.u.): 0.000

Unit cell a=4.9478 b=4.9526 c=9.8865 alpha=90.00 beta=90.00 gamma=90.00
Last column: nearest neighbours and their distance in Å.
Space group Pmmm (No. 47)
Inequivalent atoms, fractional coordinates:
Pm1 0.0000 0.0000 0.0000 (multiplicity 1)  4 Pm 3.50, 4 Sm 3.50, 4 In 3.50
Pm2 0.5000 0.0000 0.2502 (multiplicity 2)  6 Sm 3.50, 2 Pm 3.50, 4 In 3.50
Sm1 0.0000 0.0000 0.5000 (multiplicity 1)  4 In 3.49, 4 Pm 3.50, 4 Sm 3.50
Sm2 0.5000 0.5000 0.0000 (multiplicity 1)  8 Pm 3.50, 4 In 3.50
Sm3 0.5000 0.5000 0.5000 (multiplicity 1)  4 In 3.49, 4 Pm 3.50, 4 Sm 3.50
In1 0.0000 0.5000 0.2507 (multiplicity 2)  6 Sm 3.49-3.50, 6 Pm 3.50

VASP calculation (GGA-PBE) on a geometry-optimized NbGa2SbAu structure.

Output
ΔE_f (raw) (eV/atom): 0.563
Theoretical density (g/cm³): 6.703

Unit cell a=5.0772 b=5.0772 c=5.2961 alpha=90.00 beta=90.00 gamma=90.00
Last column: nearest neighbours and their distance in Å.
Space group P4/mmm (No. 123)
Inequivalent atoms, fractional coordinates:
Nb1 0.0000 0.0000 0.0000 (multiplicity 1)  4 Ga 2.54, 2 Sb 2.65
Ga1 0.0000 0.5000 0.0000 (multiplicity 2)  2 Nb 2.54
Sb1 0.0000 0.0000 0.5000 (multiplicity 1)  2 Nb 2.65
Au1 0.5000 0.5000 0.5000 (multiplicity 1)  4 Sb 3.59, 8 Ga 3.67

VASP calculation (GGA-PBE) on a geometry-optimized SrCd2Rh2 structure.

Output
Energy of formation from the pure elements (kcal/mol of atoms): -3.31
Theoretical density (g/cm³): 7.443
Offset from the most stable computed form (eV/f.u.): 0.221

Unit cell a=4.5938 b=4.5938 c=21.9148 alpha=90.00 beta=90.00 gamma=90.00
Last column: nearest neighbours and their distance in Å.
Space group I4/mmm (No. 139)
Inequivalent atoms, fractional coordinates:
Sr1 0.0000 0.0000 0.1361 (multiplicity 4)  8 Rh 3.39-3.60, 8 Cd 3.43-3.76
Cd1 0.0000 0.0000 0.3139 (multiplicity 4)  5 Rh 2.65-2.69
Cd2 0.0000 0.5000 0.0000 (multiplicity 4)  4 Rh 2.71
Rh1 0.0000 0.0000 0.4347 (multiplicity 4)  5 Cd 2.65-2.71, 1 Rh 2.86
Rh2 0.0000 0.5000 0.2500 (multiplicity 4)  4 Cd 2.69